## LaPSe2 (GGA-PBE)

Data for LaPSe2 after structural relaxation.

Space group ... P2_1/c, No. 14
ΔE_f (raw) ... -1132 meV/atom
Total DFT energy (no corrections) ... -5.46 eV/atom
Calculated density ... 5.23 Mg/m³

Cell: 9.1455 5.5823 8.8073 Å, 67.90 90.00 90.00°
Positions (direct):
P 0.9685 0.4466 0.2614
P 0.4685 0.5534 0.2387
P 0.0315 0.5534 0.7386
P 0.5315 0.4466 0.7613
Se 0.4857 0.9636 0.2548
Se 0.9857 0.0365 0.2452
Se 0.5143 0.0364 0.7452
Se 0.0143 0.9635 0.7548
Se 0.2568 0.5876 0.0829
Se 0.7568 0.4124 0.4172
Se 0.7432 0.4124 0.9171
Se 0.2432 0.5876 0.5828
La 0.7354 0.8233 0.0615
La 0.2354 0.1767 0.4384
La 0.2646 0.1767 0.9385
La 0.7646 0.8233 0.5616